# 1
A plane-wave DFT calculation with PBE was carried out for crystalline Sr3Mg8Zn at its relaxed geometry.

The calculation puts the formation energy at -0.016 eV per atom. The crystal system is trigonal.

Cell: 6.2969 6.2969 30.6589 Å, 90.00 90.00 120.00°
Last column: nearest neighbours and their distance in Å.
Space group R3m (No. 160, hexagonal axes)
One atom of each set of equivalent atoms:
Sr: 0.0000 0.0000 0.0000 (multiplicity 3)  12 Mg 3.69-3.74, 4 Sr 3.91-3.93
Sr: 0.0000 0.0000 0.1276 (multiplicity 3)  12 Mg 3.54-3.71, 3 Zn 3.69, 1 Sr 3.91
Sr: 0.0000 0.0000 0.6178 (multiplicity 3)  12 Mg 3.61-3.90, 3 Sr 3.93
Mg: 0.0000 0.0000 0.3120 (multiplicity 3)  6 Mg 3.17-3.18
Mg: 0.0000 0.0000 0.8120 (multiplicity 3)  6 Mg 3.09-3.10
Mg: 0.9996 0.4998 0.5603 (multiplicity 9)  6 Mg 3.09-3.18
Mg: 0.0015 0.5008 0.0637 (multiplicity 9)  6 Mg 3.10-3.17, 1 Zn 3.16
Zn: 0.0000 0.0000 0.4814 (multiplicity 3)  3 Mg 3.16

# 2
A plane-wave DFT calculation with PBE was carried out for crystalline InFeCu2 at its relaxed geometry.

The calculation puts the formation energy at 0.196 eV per atom. The crystal system is monoclinic.

Cell: 2.8417 3.4016 5.9730 Å, 90.00 90.31 90.00°
Last column: nearest neighbours and their distance in Å.
Space group Pm (No. 6)
One atom of each set of equivalent atoms:
In: 0.0000 0.0000 0.0000 (multiplicity 1)  4 Fe 2.78-2.79, 6 Cu 2.79-3.00, 2 In 2.84
Fe: 0.4986 0.5000 0.7169 (multiplicity 1)  5 Cu 2.57-2.58, 4 In 2.78-2.79, 2 Fe 2.84
Cu: 0.9996 0.0000 0.4986 (multiplicity 1)  6 Cu 2.55-2.84, 4 Fe 2.57-2.58
Cu: 0.4996 0.5000 0.2860 (multiplicity 1)  6 Cu 2.55-2.84, 1 Fe 2.57, 4 In 2.79-2.80

# 3
A plane-wave DFT calculation with PBE was carried out for crystalline CePr2Ir3 at its relaxed geometry.

The calculation puts the formation energy at -0.472 eV per atom. The crystal system is orthorhombic.

Cell: 4.1057 5.8540 12.3904 Å, 90.00 90.00 90.00°
Last column: nearest neighbours and their distance in Å.
Space group Immm (No. 71)
One atom of each set of equivalent atoms:
Ce: 0.0000 0.0000 0.0000 (multiplicity 2)  6 Ir 2.78-2.93
Pr: 0.0000 0.0000 0.3309 (multiplicity 4)  6 Ir 2.93-3.03
Ir: 0.0000 0.5000 0.0000 (multiplicity 2)  2 Ce 2.93, 4 Pr 2.93
Ir: 0.0000 0.5000 0.3487 (multiplicity 4)  2 Ce 2.78, 4 Pr 2.94-3.03

# 4
A plane-wave DFT calculation with PBE was carried out for crystalline AlCuTe4 at its relaxed geometry.

The total energy comes out at -65.280 eV/cell. The crystal system is cubic.

Cell: 8.9772 8.9772 8.9772 Å, 90.00 90.00 90.00°
Last column: nearest neighbours and their distance in Å.
Space group F-43m (No. 216)
One atom of each set of equivalent atoms:
Al: 0.0000 0.0000 0.0000 (multiplicity 4)  12 Te 3.72, 4 Cu 3.89
Cu: 0.2500 0.2500 0.7500 (multiplicity 4)  12 Te 3.72, 4 Al 3.89
Te: 0.1244 0.1244 0.3756 (multiplicity 16)  6 Te 3.16-3.19

# 5
A plane-wave DFT calculation with PBE was carried out for crystalline CuSnPd at its relaxed geometry.

The calculation puts the formation energy at -0.240 eV per atom. The crystal system is monoclinic.

Cell: 5.5874 5.5881 6.6466 Å, 90.00 90.57 90.00°
Last column: nearest neighbours and their distance in Å.
Space group C2/m (No. 12)
One atom of each set of equivalent atoms:
Cu: 0.0000 0.2504 0.0000 (multiplicity 4)  4 Pd 2.69-2.70, 4 Cu 2.79-2.80, 4 Sn 2.85-2.86
Sn: 0.2474 0.0000 0.6896 (multiplicity 4)  5 Pd 2.75-2.80, 4 Cu 2.85-2.86
Pd: 0.2479 0.5000 0.7238 (multiplicity 4)  4 Cu 2.69-2.70, 5 Sn 2.75-2.80

| no. | N(E_F) (states/eV per atom) |
| --- | --- |
| 1 | 0.848 |
| 2 | 0.644 |
| 3 | 0.475 |
| 4 | 0.823 |
| 5 | 0.583 |